No. 1
BSbN2: relaxed, PBE-GGA.

```
BSbN2
1.0
0.000 2.734 2.734
2.734 0.000 2.734
2.734 2.734 0.000
B Sb N
1 1 2
direct
0.000 0.000 0.000 B
0.500 0.500 0.500 Sb
0.250 0.250 0.250 N
0.750 0.750 0.750 N
```

Computed properties:
Space group   No. 225
Density   6.53 g cm⁻³
Excess energy over the best structure of this formula in the dataset   1964 meV per atom
E_form (uncorrected)   2055 meV per atom
Final energy   -4.808 eV/atom

---

No. 2
BaSmGaSe4: relaxed, PBE-GGA.

```
BaSmGaSe4
1.0
6.895 0.000 0.000
0.000 7.057 0.000
-2.658 0.000 8.409
Ba Sm Ga Se
2 2 2 8
direct
0.248 0.250 0.061 Ba
0.752 0.750 0.939 Ba
0.229 0.250 0.556 Sm
0.771 0.750 0.444 Sm
0.228 0.750 0.322 Ga
0.772 0.250 0.678 Ga
0.012 0.511 0.724 Se
0.012 0.989 0.724 Se
0.424 0.750 0.138 Se
0.442 0.750 0.591 Se
0.558 0.250 0.409 Se
0.576 0.250 0.862 Se
0.988 0.011 0.276 Se
0.988 0.489 0.276 Se
```

Computed properties:
Space group   No. 11
Density   5.47 g cm⁻³
E_form (uncorrected)   -1479 meV per atom
Final energy   -4.851 eV/atom

---

No. 3
AcScTl2: relaxed, PBE-GGA.

```
AcScTl2
1.0
1.901 1.097 9.878
-1.901 1.097 9.878
0.000 -2.195 9.878
Ac Sc Tl
1 1 2
direct
0.000 0.000 0.000 Ac
0.500 0.500 0.500 Sc
0.240 0.240 0.240 Tl
0.760 0.760 0.760 Tl
```

Computed properties:
Space group   No. 166
Density   9.14 g cm⁻³
Energy relative to the elements   -0.14 eV per atom
Final energy   -3.936 eV/atom

---

Number 1: volume 40.9 Å³/cell. Number 2: volume 409.1 Å³/cell. Number 3: volume 123.6 Å³/cell.